Record 1
# Cs3MgW, single point on PBEsol structure, DFT SCAN
data_Cs3MgW
_cell_length_a 7.1190
_cell_length_b 7.1190
_cell_length_c 7.1190
_cell_angle_alpha 90.00
_cell_angle_beta 90.00
_cell_angle_gamma 90.00
_space_group_name_H-M_alt 'P m -3 m'
_space_group_IT_number 221
_space_group_name_Hall '-P 4 2 3'
loop_
_atom_site_label
_atom_site_type_symbol
_atom_site_fract_x
_atom_site_fract_y
_atom_site_fract_z
_atom_site_occupancy
Cs1 Cs 0.0000 0.0000 0.5000 1
Mg1 Mg 0.0000 0.0000 0.0000 1
W1 W 0.5000 0.5000 0.5000 1
# DFT formation energy ... 1680 meV/atom
# Calculated volume ... 72.2 Å³ per atom

---

Record 2
# K2RbPb, single point on PBEsol structure, DFT SCAN
data_K2RbPb
_cell_length_a 8.8644
_cell_length_b 8.8644
_cell_length_c 8.8644
_cell_angle_alpha 90.00
_cell_angle_beta 90.00
_cell_angle_gamma 90.00
_space_group_name_H-M_alt 'F m -3 m'
_space_group_IT_number 225
_space_group_name_Hall '-F 4 2 3'
loop_
_atom_site_label
_atom_site_type_symbol
_atom_site_fract_x
_atom_site_fract_y
_atom_site_fract_z
_atom_site_occupancy
K1 K 0.2500 0.2500 0.2500 1
Rb1 Rb 0.0000 0.0000 0.0000 1
Pb1 Pb 0.0000 0.0000 0.5000 1
# DFT formation energy ... -153 meV/atom
# Calculated volume ... 43.5 Å³ per atom

---

Record 3
# MnRu2Br, single point on PBEsol structure, DFT SCAN
data_MnRu2Br
_cell_length_a 2.9143
_cell_length_b 4.3361
_cell_length_c 8.8751
_cell_angle_alpha 90.00
_cell_angle_beta 90.00
_cell_angle_gamma 90.00
_space_group_name_H-M_alt 'I m m 2'
_space_group_IT_number 44
_space_group_name_Hall 'I 2 -2'
loop_
_atom_site_label
_atom_site_type_symbol
_atom_site_fract_x
_atom_site_fract_y
_atom_site_fract_z
_atom_site_occupancy
Mn1 Mn 0.0000 0.0000 0.0000 1
Ru1 Ru 0.0000 0.0000 0.5302 1
Ru2 Ru 0.0000 0.5000 0.7645 1
Br1 Br 0.0000 0.5000 0.2617 1
# Formation energy from raw total energies ... 266.4 kJ/mol of formula units
# Polymorph energy (0 for the lowest one) ... 25 meV per atom
# Calculated volume ... 14.0 Å³ per atom

---

Record 4
# Ca2ZrTc, single point on PBEsol structure, DFT SCAN
data_Ca2ZrTc
_cell_length_a 3.4162
_cell_length_b 3.4162
_cell_length_c 8.8482
_cell_angle_alpha 90.00
_cell_angle_beta 90.00
_cell_angle_gamma 90.00
_space_group_name_H-M_alt 'P 4 m m'
_space_group_IT_number 99
_space_group_name_Hall 'P 4 -2'
loop_
_atom_site_label
_atom_site_type_symbol
_atom_site_fract_x
_atom_site_fract_y
_atom_site_fract_z
_atom_site_occupancy
Ca1 Ca 0.0000 0.0000 0.0000 1
Ca2 Ca 0.5000 0.5000 0.3576 1
Zr1 Zr 0.5000 0.5000 0.7154 1
Tc1 Tc 0.0000 0.0000 0.5815 1
# DFT formation energy ... 79 meV/atom
# Polymorph energy (0 for the lowest one) ... 0 meV per atom
# Calculated volume ... 25.8 Å³ per atom

---

What did the second record say?
# K2RbPb, single point on PBEsol structure, DFT SCAN
data_K2RbPb
_cell_length_a 8.8644
_cell_length_b 8.8644
_cell_length_c 8.8644
_cell_angle_alpha 90.00
_cell_angle_beta 90.00
_cell_angle_gamma 90.00
_space_group_name_H-M_alt 'F m -3 m'
_space_group_IT_number 225
_space_group_name_Hall '-F 4 2 3'
loop_
_atom_site_label
_atom_site_type_symbol
_atom_site_fract_x
_atom_site_fract_y
_atom_site_fract_z
_atom_site_occupancy
K1 K 0.2500 0.2500 0.2500 1
Rb1 Rb 0.0000 0.0000 0.0000 1
Pb1 Pb 0.0000 0.0000 0.5000 1
# DFT formation energy ... -153 meV/atom
# Calculated volume ... 43.5 Å³ per atom

---

- Which value of calculated volume does entry 3 give?
  14.0 Å³ per atom

---

- calculated volume of number 4 (Ca2ZrTc)?
  25.8 Å³ per atom

---

What did the third record say?
# MnRu2Br, single point on PBEsol structure, DFT SCAN
data_MnRu2Br
_cell_length_a 2.9143
_cell_length_b 4.3361
_cell_length_c 8.8751
_cell_angle_alpha 90.00
_cell_angle_beta 90.00
_cell_angle_gamma 90.00
_space_group_name_H-M_alt 'I m m 2'
_space_group_IT_number 44
_space_group_name_Hall 'I 2 -2'
loop_
_atom_site_label
_atom_site_type_symbol
_atom_site_fract_x
_atom_site_fract_y
_atom_site_fract_z
_atom_site_occupancy
Mn1 Mn 0.0000 0.0000 0.0000 1
Ru1 Ru 0.0000 0.0000 0.5302 1
Ru2 Ru 0.0000 0.5000 0.7645 1
Br1 Br 0.0000 0.5000 0.2617 1
# Formation energy from raw total energies ... 266.4 kJ/mol of formula units
# Polymorph energy (0 for the lowest one) ... 25 meV per atom
# Calculated volume ... 14.0 Å³ per atom